A geometry-optimized PuCo2PbO8 structure, computed with PBE+U.

Geometry as CIF:
```
data_PuCo2PbO8
_chemical_formula_sum 'Pu2 Co4 Pb2 O16'
_cell_length_a 6.8621
_cell_length_b 6.8621
_cell_length_c 6.7292
_cell_angle_alpha 90.00
_cell_angle_beta 90.00
_cell_angle_gamma 90.00
_symmetry_space_group_name_H-M 'I -4 m 2'
_symmetry_Int_Tables_number 119
_symmetry_space_group_name_Hall 'I -4 -2'
loop_
_atom_site_label
_atom_site_type_symbol
_atom_site_fract_x
_atom_site_fract_y
_atom_site_fract_z
Pu1 Pu 0.0000 0.0000 0.0000
Co1 Co 0.0000 0.0000 0.5000
Co2 Co 0.0000 0.5000 0.7500
Pb1 Pb 0.0000 0.5000 0.2500
O1 O 0.0000 0.1829 0.3116
O2 O 0.0000 0.2954 0.9475
```

- Total magnetization: 6.000 μB/f.u.
- ρ: 7.306 Mg/m³
- Electronic total energy: -165.7 eV per cell